The following is a DFT calculation (meta-GGA SCAN) of a PBEsol-optimized structure of ScInMo.

Calculated values
crystal system = orthorhombic
DOS(E_F) = 2.3 states/eV/f.u.
E_form = 0.009 eV/atom
total magnetization = 0.0 μB/f.u.
space group = Imm2, No. 44

Cell lengths 5.3062, 5.3062, 5.3062 Å; angles 145.33, 138.30, 55.32 degrees
Atoms (fractional coordinates):
1 Sc 0.0000 0.0000 0.0000
2 In 0.6825 0.6825 0.0000
3 Mo 0.3416 0.3416 0.0000

---

The following is a DFT calculation (meta-GGA SCAN) of a PBEsol-optimized structure of BeSiCl2.

Calculated values
crystal system = orthorhombic
DOS(E_F) = 0.5 states/eV/f.u.
total magnetization = 0.0 μB/f.u.
space group = Cmm2, No. 35
energy relative to the elements, uncorrected = -305 meV/atom

Cell lengths 3.3922, 3.3922, 8.3618 Å; angles 90.00, 90.00, 126.09 degrees
Atoms (fractional coordinates):
1 Be 0.0000 0.0000 0.0000
2 Si 0.5000 0.5000 0.7934
3 Cl 0.0000 0.0000 0.5789
4 Cl 0.5000 0.5000 0.1584

---

The following is a DFT calculation (meta-GGA SCAN) of a PBEsol-optimized structure of Cr20W3C6.

Calculated values
crystal system = cubic
DOS(E_F) = 22.0 states/eV/f.u.
E_form = -0.040 eV/atom
total magnetization = 0.0 μB/f.u.
space group = Fm-3m, No. 225

Cell lengths 7.4759, 7.4759, 7.4759 Å; angles 60.00, 60.00, 60.00 degrees
Atoms (fractional coordinates):
1 Cr 0.0000 0.0000 0.3447
2 Cr 0.0000 0.0000 0.6553
3 Cr 0.0000 0.3447 0.0000
4 Cr 0.0000 0.3447 0.6553
5 Cr 0.0000 0.6553 0.0000
6 Cr 0.0000 0.6553 0.3447
7 Cr 0.1552 0.6149 0.6149
8 Cr 0.3447 0.0000 0.0000
9 Cr 0.3447 0.0000 0.6553
10 Cr 0.3447 0.6553 0.0000
11 Cr 0.3851 0.3851 0.3851
12 Cr 0.3851 0.3851 0.8448
13 Cr 0.3851 0.8448 0.3851
14 Cr 0.6149 0.1552 0.6149
15 Cr 0.6149 0.6149 0.1552
16 Cr 0.6149 0.6149 0.6149
17 Cr 0.6553 0.0000 0.0000
18 Cr 0.6553 0.0000 0.3447
19 Cr 0.6553 0.3447 0.0000
20 Cr 0.8448 0.3851 0.3851
21 W 0.0000 0.0000 0.0000
22 W 0.2500 0.2500 0.2500
23 W 0.7500 0.7500 0.7500
24 C 0.2739 0.2739 0.7261
25 C 0.2739 0.7261 0.2739
26 C 0.2739 0.7261 0.7261
27 C 0.7261 0.2739 0.2739
28 C 0.7261 0.2739 0.7261
29 C 0.7261 0.7261 0.2739

---

The lowest DOS(E_F) belongs to which entry? BeSiCl2

---

Number 3 is which compound? Cr20W3C6